VASP calculation (PBE) on a relaxed structure of NbBi2O5. Values from VASP.

Properties
formation energy (no corrections)	-1.655	eV per atom

```
&SYSTEM
  ibrav = 0, nat = 32, ntyp = 3
/
ATOMIC_SPECIES
O 16.00 O.upf
Bi 208.98 Bi.upf
Nb 92.91 Nb.upf
ATOMIC_POSITIONS crystal
O 0.750 0.557 0.951
O 0.250 0.879 0.651
O 0.250 0.323 0.510
O 0.750 0.121 0.349
O 0.250 0.938 0.157
O 0.750 0.057 0.549
O 0.750 0.062 0.843
O 0.750 0.621 0.151
O 0.250 0.443 0.049
O 0.250 0.751 0.833
O 0.750 0.562 0.657
O 0.250 0.823 0.990
O 0.250 0.943 0.451
O 0.750 0.177 0.010
O 0.250 0.379 0.849
O 0.750 0.249 0.167
O 0.750 0.677 0.490
O 0.250 0.251 0.667
O 0.250 0.438 0.343
O 0.750 0.749 0.333
Bi 0.750 0.891 0.085
Bi 0.250 0.609 0.585
Bi 0.250 0.154 0.258
Bi 0.750 0.391 0.415
Bi 0.250 0.109 0.915
Bi 0.250 0.654 0.242
Bi 0.750 0.346 0.758
Bi 0.750 0.846 0.742
Nb 0.750 0.386 0.077
Nb 0.250 0.614 0.923
Nb 0.250 0.114 0.577
Nb 0.750 0.886 0.423
CELL_PARAMETERS angstrom
3.825 0.000 0.000
0.000 7.521 0.000
0.000 0.000 17.147
```


VASP calculation (PBE) on a relaxed structure of NbBiPO2. Values from VASP.

Properties
formation energy (no corrections)	-1.127	eV per atom

```
&SYSTEM
  ibrav = 0, nat = 5, ntyp = 4
/
ATOMIC_SPECIES
O 16.00 O.upf
P 30.97 P.upf
Nb 92.91 Nb.upf
Bi 208.98 Bi.upf
ATOMIC_POSITIONS crystal
O 0.500 0.000 0.000
O 0.000 0.500 0.000
P 0.000 0.000 0.500
Nb 0.000 0.000 0.000
Bi 0.500 0.500 0.500
CELL_PARAMETERS angstrom
4.015 0.000 0.000
0.000 4.015 0.000
0.000 0.000 5.344
```


VASP calculation (PBE) on a relaxed structure of NbBiP2O. Values from VASP.

Properties
formation energy (no corrections)	-0.505	eV per atom

```
&SYSTEM
  ibrav = 0, nat = 5, ntyp = 4
/
ATOMIC_SPECIES
P 30.97 P.upf
Bi 208.98 Bi.upf
Nb 92.91 Nb.upf
O 16.00 O.upf
ATOMIC_POSITIONS crystal
P 0.500 0.000 0.000
P 0.000 0.000 0.500
Bi 0.500 0.500 0.500
Nb 0.000 0.000 0.000
O 0.000 0.500 0.000
CELL_PARAMETERS angstrom
5.040 0.000 0.000
0.000 3.897 0.000
0.000 0.000 5.040
```


VASP calculation (PBE) on a relaxed structure of NbBiPO2. Values from VASP.

Properties
formation energy (no corrections)	0.234	eV per atom

```
&SYSTEM
  ibrav = 0, nat = 5, ntyp = 4
/
ATOMIC_SPECIES
Bi 208.98 Bi.upf
Nb 92.91 Nb.upf
P 30.97 P.upf
O 16.00 O.upf
ATOMIC_POSITIONS crystal
Bi 0.000 0.000 0.000
Nb 0.500 0.500 0.500
P 0.000 0.000 0.500
O 0.500 0.000 0.000
O 0.000 0.500 0.000
CELL_PARAMETERS angstrom
4.147 0.000 0.000
0.000 4.147 0.000
0.000 0.000 5.493
```


VASP calculation (PBE) on a relaxed structure of NbBiP2O. Values from VASP.

Properties
formation energy (no corrections)	0.912	eV per atom

```
&SYSTEM
  ibrav = 0, nat = 5, ntyp = 4
/
ATOMIC_SPECIES
Nb 92.91 Nb.upf
Bi 208.98 Bi.upf
O 16.00 O.upf
P 30.97 P.upf
ATOMIC_POSITIONS crystal
Nb 0.500 0.500 0.500
Bi 0.000 0.000 0.000
O 0.000 0.000 0.500
P 0.000 0.500 0.000
P 0.500 0.000 0.000
CELL_PARAMETERS angstrom
-3.491 -0.463 -3.782
3.770 -1.163 -3.337
-0.435 -3.946 0.885
```


VASP calculation (PBE) on a relaxed structure of NbBi2PbO. Values from VASP.

Properties
formation energy (no corrections)	0.852	eV per atom

```
&SYSTEM
  ibrav = 0, nat = 5, ntyp = 4
/
ATOMIC_SPECIES
Bi 208.98 Bi.upf
Nb 92.91 Nb.upf
Pb 207.20 Pb.upf
O 16.00 O.upf
ATOMIC_POSITIONS crystal
Bi 0.500 0.000 0.000
Bi 0.000 0.500 0.000
Nb 0.500 0.500 0.500
Pb 0.000 0.000 0.000
O 0.000 0.000 0.500
CELL_PARAMETERS angstrom
6.069 0.000 0.000
0.000 6.069 0.000
0.000 0.000 4.112
```


no.,volume (Å³ per cell),total magnetization (μB per formula unit),DFT total energy (eV for the cell shown)
1,493.3,0.0,-223.449
2,86.2,0.7,-34.914
3,99.0,0.0,-32.255
4,94.4,2.3,-28.106
5,108.6,1.7,-25.170
6,151.4,2.6,-22.241